DFT (PBE) results for AcPrSbAu after structural relaxation.

Lattice parameters (Å, degrees): 5.5448 5.5448 5.5448 60.00 60.00 60.00
Atoms (fractional coordinates):
1 Ac 0.0000 0.0000 0.0000
2 Pr 0.5000 0.5000 0.5000
3 Sb 0.7500 0.7500 0.7500
4 Au 0.2500 0.2500 0.2500

Its uncorrected formation energy is -0.791 eV per atom.